Entry from Alexandria via LeMat-Bulk: a geometry-optimized Nd2Dy6MgSc3 structure (PBE-GGA).

Calculated values
Formation enthalpy at 0 K = 0.040 eV per atom
SG = No. 12

a b c (Å): 6.0265 6.0265 11.4332
angles (deg): 95.07 95.07 120.02
Closest atoms and distances in Å follow each position.
Sites, in units of the cell vectors:
Nd: 0.1669 0.8331 0.0000  3 Nd 3.48, 3 Mg 3.48, 6 Dy 3.56
Nd: 0.8331 0.1669 0.0000  3 Nd 3.48, 3 Mg 3.48, 6 Dy 3.56
Dy: 0.0815 0.4136 0.7391  3 Sc 3.35-3.37, 6 Dy 3.46-3.49, 1 Mg 3.55, 2 Nd 3.56
Dy: 0.2544 0.2544 0.2608  3 Sc 3.35-3.36, 6 Dy 3.46-3.49, 1 Mg 3.55, 2 Nd 3.56
Dy: 0.4136 0.0815 0.7391  3 Sc 3.35-3.37, 6 Dy 3.46-3.49, 1 Mg 3.55, 2 Nd 3.56
Dy: 0.5864 0.9185 0.2609  3 Sc 3.35-3.37, 6 Dy 3.46-3.49, 1 Mg 3.55, 2 Nd 3.56
Dy: 0.7456 0.7456 0.7392  3 Sc 3.35-3.36, 6 Dy 3.46-3.49, 1 Mg 3.55, 2 Nd 3.56
Dy: 0.9185 0.5864 0.2609  3 Sc 3.35-3.37, 6 Dy 3.46-3.49, 1 Mg 3.55, 2 Nd 3.56
Mg: 0.5000 0.5000 0.0000  6 Nd 3.48, 6 Dy 3.55
Sc: 0.0000 0.0000 0.5000  6 Dy 3.36, 6 Sc 3.47-3.50
Sc: 0.3349 0.6651 0.5000  6 Dy 3.35-3.37, 6 Sc 3.45-3.50
Sc: 0.6651 0.3349 0.5000  6 Dy 3.35-3.37, 6 Sc 3.45-3.50

Entry from Alexandria via LeMat-Bulk: a geometry-optimized Ac4HoP5 structure (PBE-GGA).

Calculated values
Formation enthalpy at 0 K = -1.433 eV per atom
SG = No. 139

a b c (Å): 15.7135 15.7135 15.7135
angles (deg): 163.97 163.97 22.74
Closest atoms and distances in Å follow each position.
Sites, in units of the cell vectors:
Ac: 0.0966 0.0966 0.0000  6 P 2.98-3.17
Ac: 0.3015 0.3015 0.0000  6 P 3.10-3.22
Ac: 0.6985 0.6985 0.0000  6 P 3.10-3.22
Ac: 0.9034 0.9034 0.0000  6 P 2.98-3.17
Ho: 0.5000 0.5000 0.0000  6 P 2.89-3.10
P: 0.0000 0.0000 0.0000  2 Ac 2.98, 4 Ho 3.10
P: 0.1994 0.1994 0.0000  6 Ac 3.10-3.17
P: 0.4061 0.4061 0.0000  1 Ho 2.89, 5 Ac 3.10-3.22
P: 0.5939 0.5939 0.0000  1 Ho 2.89, 5 Ac 3.10-3.22
P: 0.8006 0.8006 0.0000  6 Ac 3.10-3.17

Entry from Alexandria via LeMat-Bulk: a geometry-optimized NbBP2O structure (PBE-GGA).

Calculated values
E_form (uncorrected) = 0.56 eV per atom
SG = No. 123

a b c (Å): 4.9180 4.9180 3.8646
angles (deg): 90.00 90.00 90.00
Closest atoms and distances in Å follow each position.
Sites, in units of the cell vectors:
Nb: 0.0000 0.0000 0.0000  2 O 1.93
B: 0.5000 0.5000 0.5000  8 P 3.13, 4 O 3.48
P: 0.0000 0.5000 0.0000  2 Nb 2.46
P: 0.5000 0.0000 0.0000  2 Nb 2.46
O: 0.0000 0.0000 0.5000  2 Nb 1.93